No. 1
Material: TcIr5Rh4
Method: DFT, PBE
State: optimized geometry

Summary:
For the total energy, the calculation gives -8.47 eV per atom. Its calculated formation energy is -0.06 eV/atom. The excess energy over the best structure of this formula in the dataset comes out at 0.0 meV/atom. The calculation puts the total magnetization at 0.0 μB per formula unit. As for the space-group type: No. 123.

Cell: 2.727 2.727 19.321 Å, 90.00 90.00 90.00°
Fractional coordinates of all 10 atoms:
1 Rh 0.000 0.000 0.798
2 Rh 0.000 0.000 0.202
3 Tc 0.000 0.000 0.000
4 Rh 0.000 0.000 0.400
5 Ir 0.500 0.500 0.300
6 Ir 0.500 0.500 0.098
7 Ir 0.500 0.500 0.500
8 Ir 0.500 0.500 0.700
9 Rh 0.000 0.000 0.600
10 Ir 0.500 0.500 0.902

No. 2
Material: Rb3VRu
Method: DFT, PBE
State: optimized geometry

Summary:
For the total energy, the calculation gives -2.61 eV per atom. Its calculated formation energy is 1.65 eV/atom. The calculation puts the total magnetization at 6.1 μB per formula unit. As for the space-group type: No. 221.

Cell: 6.481 6.481 6.481 Å, 90.00 90.00 90.00°
Last column: magnetic moment on the atom in μB.
Fractional coordinates of all 5 atoms:
1 Rb 0.000 0.000 0.500  0.01
2 V 0.500 0.500 0.500  3.19
3 Rb 0.500 0.000 0.000  0.01
4 Rb 0.000 0.500 0.000  0.01
5 Ru 0.000 0.000 0.000  1.83

No. 3
Material: CaZrAs
Method: DFT, PBE
State: optimized geometry

Summary:
For the total energy, the calculation gives -5.69 eV per atom. Its calculated formation energy is -0.63 eV/atom. The excess energy over the best structure of this formula in the dataset comes out at 296.6 meV/atom. The calculation puts the total magnetization at 0.0 μB per formula unit. As for the space-group type: No. 8.

Cell: 8.849 4.026 10.018 Å, 90.00 116.22 90.00°
Fractional coordinates of all 12 atoms:
1 Ca 0.225 0.000 0.514
2 Ca 0.225 0.500 0.014
3 Zr 0.945 0.500 0.211
4 As 0.600 0.000 0.652
5 As 0.600 0.500 0.152
6 Zr 0.945 0.000 0.711
7 Zr 0.778 0.000 0.338
8 Ca 0.545 0.000 0.936
9 Ca 0.545 0.500 0.436
10 As 0.976 0.000 0.022
11 Zr 0.778 0.500 0.838
12 As 0.976 0.500 0.522